No. 1
The following is a PBE calculation of LiTlHPb2 after structural relaxation, from Alexandria. Values from VASP.

Values from the calculation:
* crystal system: tetragonal
* M_tot: 0.0000 μB/atom
* total energy: -14.76 eV for the cell shown

Geometry as Quantum ESPRESSO input:
```
&SYSTEM
  ibrav = 0, nat = 5, ntyp = 4
/
ATOMIC_SPECIES
Pb 207.20 Pb.upf
H 1.01 H.upf
Tl 204.38 Tl.upf
Li 6.94 Li.upf
CELL_PARAMETERS angstrom
-4.9781 0.9866 -0.0804
-0.3725 -2.2489 -4.5348
-0.8005 -3.8773 1.9886
ATOMIC_POSITIONS crystal
Pb 0.0000 0.5000 0.0000
Pb 0.5000 0.0000 0.0000
H 0.0000 0.0000 0.0000
Tl 0.5000 0.5000 0.5000
Li 0.0000 0.0000 0.5000
```

No. 2
The following is a PBE calculation of Li2ZrHPb after structural relaxation, from Alexandria. Values from VASP.

Values from the calculation:
* crystal system: tetragonal
* M_tot: 0.0000 μB/atom
* total energy: -20.94 eV for the cell shown

Geometry as Quantum ESPRESSO input:
```
&SYSTEM
  ibrav = 0, nat = 5, ntyp = 4
/
ATOMIC_SPECIES
Pb 207.20 Pb.upf
H 1.01 H.upf
Zr 91.22 Zr.upf
Li 6.94 Li.upf
CELL_PARAMETERS angstrom
-0.4896 -3.5631 -2.2912
2.3429 1.6938 -3.1348
3.6041 -1.6530 1.8005
ATOMIC_POSITIONS crystal
Pb 0.5000 0.5000 0.5000
H 0.0000 0.0000 0.0000
Zr 0.0000 0.0000 0.5000
Li 0.0000 0.5000 0.0000
Li 0.5000 0.0000 0.0000
```

No. 3
The following is a PBE calculation of LiH6Pd4 after structural relaxation, from Alexandria. Values from VASP.

Values from the calculation:
* crystal system: tetragonal
* M_tot: 0.0000 μB/atom
* excess energy over the best structure of this formula in the dataset: 0.183 eV per atom
* total energy: -42.54 eV for the cell shown

Geometry as Quantum ESPRESSO input:
```
&SYSTEM
  ibrav = 0, nat = 11, ntyp = 3
/
ATOMIC_SPECIES
Li 6.94 Li.upf
H 1.01 H.upf
Pd 106.42 Pd.upf
CELL_PARAMETERS angstrom
5.0563 0.0358 0.0527
-2.3060 4.5000 -0.0527
-2.3060 -1.7035 4.1654
ATOMIC_POSITIONS crystal
Li 0.0000 0.0000 0.0000
H 0.0000 0.8063 0.5114
H 0.0000 0.5114 0.8063
H 0.7050 0.1937 0.1937
H 0.5000 0.0000 0.5000
H 0.2950 0.4886 0.4886
H 0.5000 0.5000 0.0000
Pd 0.0000 0.1571 0.5530
Pd 0.6042 0.4470 0.4470
Pd 0.0000 0.5530 0.1571
Pd 0.3958 0.8429 0.8429
```

No. 4
The following is a PBE calculation of LiHPd4 after structural relaxation, from Alexandria. Values from VASP.

Values from the calculation:
* crystal system: tetragonal
* M_tot: 0.0000 μB/atom
* excess energy over the best structure of this formula in the dataset: 0.267 eV per atom
* total energy: -51.03 eV for the cell shown

Geometry as Quantum ESPRESSO input:
```
&SYSTEM
  ibrav = 0, nat = 12, ntyp = 3
/
ATOMIC_SPECIES
Li 6.94 Li.upf
H 1.01 H.upf
Pd 106.42 Pd.upf
CELL_PARAMETERS angstrom
6.0064 -0.5971 0.0000
-2.9717 5.2538 0.0000
-1.5173 -2.3283 5.3581
ATOMIC_POSITIONS crystal
Li 0.1629 0.1629 0.0000
Li 0.9129 0.4129 0.5000
H 0.8336 0.8336 0.0000
H 0.5836 0.0836 0.5000
Pd 0.2477 0.9555 0.7078
Pd 0.7540 0.5343 0.7803
Pd 0.7055 0.4977 0.2078
Pd 0.2843 0.0040 0.2803
Pd 0.2899 0.4977 0.7922
Pd 0.7237 0.0040 0.7197
Pd 0.7540 0.9737 0.2197
Pd 0.2477 0.5399 0.2922
```

No. 5
The following is a PBE calculation of Li2HPd2 after structural relaxation, from Alexandria. Values from VASP.

Values from the calculation:
* crystal system: tetragonal
* M_tot: 0.0000 μB/atom
* total energy: -19.58 eV for the cell shown

Geometry as Quantum ESPRESSO input:
```
&SYSTEM
  ibrav = 0, nat = 5, ntyp = 3
/
ATOMIC_SPECIES
Li 6.94 Li.upf
H 1.01 H.upf
Pd 106.42 Pd.upf
CELL_PARAMETERS angstrom
-1.3175 -2.3754 2.5328
3.4403 0.1839 1.9619
-1.3802 3.0422 2.1352
ATOMIC_POSITIONS crystal
Li 0.5000 0.5000 0.5000
Li 0.5000 0.0000 0.0000
H 0.0000 0.0000 0.0000
Pd 0.0000 0.0000 0.5000
Pd 0.0000 0.5000 0.0000
```

No. 6
The following is a PBE calculation of LiHPd3 after structural relaxation, from Alexandria. Values from VASP.

Values from the calculation:
* crystal system: hexagonal
* M_tot: 0.0000 μB/atom
* excess energy over the best structure of this formula in the dataset: 0.758 eV per atom
* total energy: -37.01 eV for the cell shown

Geometry as Quantum ESPRESSO input:
```
&SYSTEM
  ibrav = 0, nat = 10, ntyp = 3
/
ATOMIC_SPECIES
H 1.01 H.upf
Pd 106.42 Pd.upf
Li 6.94 Li.upf
CELL_PARAMETERS angstrom
-3.2409 -0.9329 -1.3017
2.3412 -2.5573 1.0235
-4.6892 0.2949 11.4633
ATOMIC_POSITIONS crystal
H 0.0000 0.0000 0.0000
H 0.0000 0.0000 0.5000
Pd 0.0000 0.0000 0.2500
Pd 0.0000 0.0000 0.7500
Pd 0.3333 0.6667 0.9327
Pd 0.3333 0.6667 0.5673
Pd 0.6667 0.3333 0.4327
Pd 0.6667 0.3333 0.0673
Li 0.3333 0.6667 0.7500
Li 0.6667 0.3333 0.2500
```